(1)
Computed, not measured: crystalline Ta2CoSi at its relaxed geometry at the PBE-GGA level of DFT.

Unit cell a=3.258 b=3.258 c=5.697 alpha=90.00 beta=90.00 gamma=90.00
Positions (direct):
Co  0.000  0.000  0.510
Si  0.500  0.500  0.743
Ta  0.000  0.000  0.976
Ta  0.500  0.500  0.271

N(E_F)	0.933	states/eV/atom
total DFT energy (no corrections)	-9.200	eV/atom
formation energy without anion corrections	-0.142	eV/atom
magnetization	0.00	Bohr magnetons per cell
ρ	12.32	g cm⁻³

=====

(2)
Computed, not measured: crystalline Ta2CoSi at its relaxed geometry at the PBE-GGA level of DFT.

Unit cell a=3.830 b=2.841 c=6.037 alpha=64.61 beta=90.00 gamma=90.00
Each line ends with the local moment (μB).
Positions (direct):
Co  0.500  0.250  0.250  0.51
Si  0.500  0.750  0.750  0.01
Ta  0.000  0.982  0.002  -0.01
Ta  0.000  0.518  0.498  -0.01

N(E_F)	0.785	states/eV/atom
total DFT energy (no corrections)	-9.277	eV/atom
formation energy without anion corrections	-0.219	eV/atom
magnetization	0.50	Bohr magnetons per cell
ρ	12.56	g cm⁻³

=====

(3)
Computed, not measured: crystalline TaCo2Si at its relaxed geometry at the PBE-GGA level of DFT.

Unit cell a=4.282 b=4.282 c=4.679 alpha=80.34 beta=80.34 gamma=37.76
Each line ends with the local moment (μB).
Positions (direct):
Co  0.991  0.991  0.022  0.67
Co  0.509  0.509  0.478  0.67
Si  0.250  0.250  0.250  0.00
Ta  0.750  0.750  0.750  -0.02

N(E_F)	0.901	states/eV/atom
total DFT energy (no corrections)	-8.091	eV/atom
formation energy without anion corrections	-0.219	eV/atom
magnetization	1.27	Bohr magnetons per cell
ρ	10.50	g cm⁻³

=====

(4)
Computed, not measured: crystalline TaCo2Si at its relaxed geometry at the PBE-GGA level of DFT.

Unit cell a=2.848 b=2.848 c=6.288 alpha=90.00 beta=90.00 gamma=90.01
Each line ends with the local moment (μB).
Positions (direct):
Co  0.000  0.000  0.029  0.99
Co  0.500  0.500  0.266  0.63
Si  0.000  0.000  0.453  -0.02
Ta  0.500  0.500  0.752  -0.13

N(E_F)	1.421	states/eV/atom
total DFT energy (no corrections)	-8.056	eV/atom
formation energy without anion corrections	-0.184	eV/atom
magnetization	1.38	Bohr magnetons per cell
ρ	10.64	g cm⁻³

=====

(5)
Computed, not measured: crystalline TaCo2Si at its relaxed geometry at the PBE-GGA level of DFT.

Unit cell a=4.088 b=2.821 c=4.600 alpha=79.57 beta=90.00 gamma=90.00
Each line ends with the local moment (μB).
Positions (direct):
Co  0.000  0.005  0.029  0.88
Co  0.500  0.394  0.250  0.56
Si  0.000  0.337  0.480  0.00
Ta  0.500  0.764  0.741  -0.05

N(E_F)	0.889	states/eV/atom
total DFT energy (no corrections)	-8.088	eV/atom
formation energy without anion corrections	-0.216	eV/atom
magnetization	1.35	Bohr magnetons per cell
ρ	10.40	g cm⁻³

=====

(6)
Computed, not measured: crystalline Ta2CoSi at its relaxed geometry at the PBE-GGA level of DFT.

Unit cell a=2.826 b=2.826 c=7.509 alpha=90.00 beta=90.00 gamma=98.38
Positions (direct):
Co  0.500  0.500  0.250
Si  0.500  0.500  0.750
Ta  0.000  0.000  0.009
Ta  0.000  0.000  0.491

N(E_F)	0.941	states/eV/atom
total DFT energy (no corrections)	-9.239	eV/atom
formation energy without anion corrections	-0.180	eV/atom
magnetization	0.00	Bohr magnetons per cell
ρ	12.57	g cm⁻³